## Li3CeMg3 (PBE)

Data for a geometry-optimized Li3CeMg3 structure.

Results
Symmetry: Pm-3n
Energy of formation (eV per atom): 0.44
E_tot (eV/atom): -1.9094

```
Li3CeMg3
1.0
7.1390 0.0000 0.0000
0.0000 7.1390 0.0000
0.0000 0.0000 7.1390
Li Ce Mg
6 2 6
Direct
0.0000 0.2500 0.5000 Li
0.0000 0.7500 0.5000 Li
0.2500 0.5000 0.0000 Li
0.5000 0.0000 0.2500 Li
0.5000 0.0000 0.7500 Li
0.7500 0.5000 0.0000 Li
0.0000 0.0000 0.0000 Ce
0.5000 0.5000 0.5000 Ce
0.0000 0.5000 0.2500 Mg
0.0000 0.5000 0.7500 Mg
0.2500 0.0000 0.5000 Mg
0.5000 0.2500 0.0000 Mg
0.5000 0.7500 0.0000 Mg
0.7500 0.0000 0.5000 Mg
```



## SmY9Sc2 (PBE)

Data for a geometry-optimized SmY9Sc2 structure.

Results
Symmetry: P4/mmm
Energy of formation (eV per atom): 0.04
E_tot (eV/atom): -6.2540

```
SmY9Sc2
1.0
4.9918 0.0000 0.0000
0.0000 4.9918 0.0000
0.0000 0.0000 14.9565
Sm Y Sc
1 9 2
Direct
0.0000 0.0000 0.0000 Sm
0.0000 0.5000 0.1722 Y
0.0000 0.5000 0.5000 Y
0.0000 0.5000 0.8278 Y
0.5000 0.0000 0.1722 Y
0.5000 0.0000 0.5000 Y
0.5000 0.0000 0.8278 Y
0.5000 0.5000 0.0000 Y
0.5000 0.5000 0.3370 Y
0.5000 0.5000 0.6630 Y
0.0000 0.0000 0.3356 Sc
0.0000 0.0000 0.6644 Sc
```



## Tm2Si2AgRh5 (PBE)

Data for a geometry-optimized Tm2Si2AgRh5 structure.

Results
Symmetry: P4/mbm
E_form (uncorrected) (eV/atom): -0.8586
E_tot (eV/atom): -6.7983

```
Tm2Si2AgRh5
1.0
9.7548 0.0000 0.0000
0.0000 9.7548 0.0000
0.0000 0.0000 3.4513
Tm Si Ag Rh
4 4 2 10
Direct
0.1739 0.3261 0.0000 Tm
0.3261 0.8261 0.0000 Tm
0.6739 0.1739 0.0000 Tm
0.8261 0.6739 0.0000 Tm
0.1255 0.6255 0.0000 Si
0.3745 0.1255 0.0000 Si
0.6255 0.8745 0.0000 Si
0.8745 0.3745 0.0000 Si
0.0000 0.0000 0.0000 Ag
0.5000 0.5000 0.0000 Ag
0.0000 0.5000 0.5000 Rh
0.0693 0.7847 0.5000 Rh
0.2153 0.0693 0.5000 Rh
0.2847 0.5693 0.5000 Rh
0.4307 0.2847 0.5000 Rh
0.5000 0.0000 0.5000 Rh
0.5693 0.7153 0.5000 Rh
0.7153 0.4307 0.5000 Rh
0.7847 0.9307 0.5000 Rh
0.9307 0.2153 0.5000 Rh
```



## Be2Hg (PBE)

Data for a geometry-optimized Be2Hg structure.

Results
Symmetry: Immm
Energy of formation (eV per atom): 0.49
Excess energy over the best structure of this formula in the dataset (meV/atom): 228
E_tot (eV/atom): -2.0935

```
Be2Hg
1.0
3.1772 0.0000 0.0000
0.0000 3.2960 0.0000
0.0000 0.0000 7.5166
Be Hg
4 2
Direct
0.0000 0.0000 0.1717 Be
0.0000 0.0000 0.8283 Be
0.5000 0.5000 0.3283 Be
0.5000 0.5000 0.6717 Be
0.0000 0.0000 0.5000 Hg
0.5000 0.5000 0.0000 Hg
```



## Y2Zr3Sc8 (PBE)

Data for a geometry-optimized Y2Zr3Sc8 structure.

Results
Symmetry: P2/m
Energy of formation (eV per atom): 0.13
E_tot (eV/atom): -6.7356

```
Y2Zr3Sc8
1.0
7.1681 0.0000 0.0000
0.0000 4.4488 0.0000
-0.7246 0.0000 10.7890
Y Zr Sc
2 3 8
Direct
0.2394 0.0000 0.0629 Y
0.7606 0.0000 0.9371 Y
0.2123 0.5000 0.5643 Zr
0.5000 0.0000 0.5000 Zr
0.7877 0.5000 0.4357 Zr
0.0616 0.5000 0.8404 Sc
0.0846 0.0000 0.3617 Sc
0.3291 0.0000 0.7528 Sc
0.3790 0.5000 0.2985 Sc
0.6210 0.5000 0.7015 Sc
0.6709 0.0000 0.2472 Sc
0.9154 0.0000 0.6383 Sc
0.9384 0.5000 0.1596 Sc
```



## ZnCrP4 (PBE)

Data for a geometry-optimized ZnCrP4 structure.

Results
Symmetry: F-43m
Energy of formation (eV per atom): 0.60
E_tot (eV/atom): -4.8180

```
ZnCrP4
1.0
0.0000 3.5938 3.5938
3.5938 0.0000 3.5938
3.5938 3.5938 0.0000
Zn Cr P
1 1 4
Direct
0.0000 0.0000 0.0000 Zn
0.7500 0.7500 0.7500 Cr
0.3733 0.3733 0.3733 P
0.3733 0.3733 0.8800 P
0.3733 0.8800 0.3733 P
0.8800 0.3733 0.3733 P
```



## UTaIr2 (PBE)

Data for a geometry-optimized UTaIr2 structure.

Results
Symmetry: P4/mmm
Energy of formation (eV per atom): -0.43
Excess energy over the best structure of this formula in the dataset (meV/atom): 40
E_tot (eV/atom): -10.6455

```
UTaIr2
1.0
4.1842 0.0000 0.0000
0.0000 4.1842 0.0000
0.0000 0.0000 3.9930
U Ta Ir
1 1 2
Direct
0.0000 0.0000 0.0000 U
0.5000 0.5000 0.0000 Ta
0.0000 0.5000 0.5000 Ir
0.5000 0.0000 0.5000 Ir
```



## LiCaPaSe4 (PBE)

Data for a geometry-optimized LiCaPaSe4 structure.

Results
Symmetry: Imma
E_form (uncorrected) (eV/atom): -1.4782
E_tot (eV/atom): -5.3853

```
LiCaPaSe4
1.0
-4.3649 4.7279 4.5727
4.3649 -4.7279 4.5727
4.3649 4.7279 -4.5727
Li Ca Pa Se
2 2 2 8
Direct
0.0000 0.0000 0.0000 Li
0.5000 0.0000 0.5000 Li
0.4339 0.6839 0.7500 Ca
0.5661 0.3161 0.2500 Ca
0.0000 0.0000 0.5000 Pa
0.0000 0.5000 0.0000 Pa
0.1531 0.7151 0.4380 Se
0.2229 0.2849 0.9380 Se
0.2925 0.2439 0.4514 Se
0.2925 0.8411 0.0486 Se
0.7075 0.1589 0.9514 Se
0.7075 0.7561 0.5486 Se
0.7771 0.7151 0.0620 Se
0.8469 0.2849 0.5620 Se
```



## Er7Th (PBE)

Data for a geometry-optimized Er7Th structure.

Results
Symmetry: Fm-3m
Energy of formation (eV per atom): 0.02
E_tot (eV/atom): -4.9015

```
Er7Th
1.0
0.0000 4.9640 4.9640
4.9640 0.0000 4.9640
4.9640 4.9640 0.0000
Er Th
7 1
Direct
0.0000 0.0000 0.0000 Er
0.0000 0.0000 0.5000 Er
0.0000 0.5000 0.0000 Er
0.0000 0.5000 0.5000 Er
0.5000 0.0000 0.0000 Er
0.5000 0.0000 0.5000 Er
0.5000 0.5000 0.0000 Er
0.5000 0.5000 0.5000 Th
```



## PmYSbAu (PBE)

Data for a geometry-optimized PmYSbAu structure.

Results
Symmetry: F-43m
E_form (uncorrected) (eV/atom): -0.7944
E_tot (eV/atom): -5.4481

```
PmYSbAu
1.0
7.4703 0.0000 0.0000
0.0000 7.4703 0.0000
0.0000 0.0000 7.4703
Pm Y Sb Au
4 4 4 4
Direct
0.0000 0.0000 0.0000 Pm
0.0000 0.5000 0.5000 Pm
0.5000 0.0000 0.5000 Pm
0.5000 0.5000 0.0000 Pm
0.0000 0.0000 0.5000 Y
0.0000 0.5000 0.0000 Y
0.5000 0.0000 0.0000 Y
0.5000 0.5000 0.5000 Y
0.2500 0.2500 0.2500 Sb
0.2500 0.7500 0.7500 Sb
0.7500 0.2500 0.7500 Sb
0.7500 0.7500 0.2500 Sb
0.2500 0.2500 0.7500 Au
0.2500 0.7500 0.2500 Au
0.7500 0.2500 0.2500 Au
0.7500 0.7500 0.7500 Au
```



## Mn2RhSe (PBE)

Data for a geometry-optimized Mn2RhSe structure.

Results
Symmetry: P4mm
E_form (uncorrected) (eV/atom): 0.0331
E_tot (eV/atom): -7.2607

```
Mn2RhSe
1.0
3.1384 0.0000 0.0000
0.0000 3.1384 0.0000
0.0000 0.0000 5.8979
Mn Rh Se
2 1 1
Direct
0.0000 0.0000 0.0000 Mn
0.5000 0.5000 0.2612 Mn
0.0000 0.0000 0.4932 Rh
0.5000 0.5000 0.8013 Se
```



## IrPb (PBE)

Data for a geometry-optimized IrPb structure.

Results
Symmetry: I4/m
Energy of formation (eV per atom): 0.52
E_tot (eV/atom): -5.7648

```
IrPb
1.0
10.9855 0.0000 0.0000
0.0000 10.9855 0.0000
0.0000 0.0000 4.1122
Ir Pb
8 8
Direct
0.2015 0.7081 0.0000 Ir
0.2081 0.2985 0.5000 Ir
0.2919 0.2015 0.0000 Ir
0.2985 0.7919 0.5000 Ir
0.7015 0.2081 0.5000 Ir
0.7081 0.7985 0.0000 Ir
0.7919 0.7015 0.5000 Ir
0.7985 0.2919 0.0000 Ir
0.0390 0.2965 0.0000 Pb
0.2035 0.5390 0.5000 Pb
0.2965 0.9610 0.0000 Pb
0.4610 0.2035 0.5000 Pb
0.5390 0.7965 0.5000 Pb
0.7035 0.0390 0.0000 Pb
0.7965 0.4610 0.5000 Pb
0.9610 0.7035 0.0000 Pb
```



## AsNCl3 (PBE)

Data for a geometry-optimized AsNCl3 structure.

Results
Symmetry: Pm-3m
Excess energy over the best structure of this formula in the dataset (meV/atom): 188
E_form (uncorrected) (eV/atom): 0.6484
E_tot (eV/atom): -3.0546

```
AsNCl3
1.0
4.9748 0.0000 0.0000
0.0000 4.9748 0.0000
0.0000 0.0000 4.9748
As N Cl
1 1 3
Direct
0.0000 0.0000 0.0000 As
0.5000 0.5000 0.5000 N
0.0000 0.0000 0.5000 Cl
0.0000 0.5000 0.0000 Cl
0.5000 0.0000 0.0000 Cl
```



## CsLa2HfGe (PBE)

Data for a geometry-optimized CsLa2HfGe structure.

Results
Symmetry: P4/mmm
Energy of formation (eV per atom): 1.45
E_tot (eV/atom): -3.6071

```
CsLa2HfGe
1.0
5.7907 0.0000 0.0000
0.0000 5.7907 0.0000
0.0000 0.0000 5.3443
Cs La Hf Ge
1 2 1 1
Direct
0.0000 0.0000 0.0000 Cs
0.0000 0.5000 0.0000 La
0.5000 0.0000 0.0000 La
0.0000 0.0000 0.5000 Hf
0.5000 0.5000 0.5000 Ge
```



## LaNdDy (PBE)

Data for a geometry-optimized LaNdDy structure.

Results
Symmetry: Cmcm
Energy of formation (eV per atom): 0.04
Excess energy over the best structure of this formula in the dataset (meV/atom): 23
E_tot (eV/atom): -4.7231

```
LaNdDy
1.0
3.5926 0.0000 0.0000
0.0000 20.6680 0.0000
0.0000 0.0000 5.5865
La Nd Dy
4 4 4
Direct
0.0000 0.2062 0.2500 La
0.0000 0.7938 0.7500 La
0.5000 0.2938 0.7500 La
0.5000 0.7062 0.2500 La
0.0000 0.0406 0.2500 Nd
0.0000 0.9594 0.7500 Nd
0.5000 0.4594 0.7500 Nd
0.5000 0.5406 0.2500 Nd
0.0000 0.3831 0.2500 Dy
0.0000 0.6169 0.7500 Dy
0.5000 0.1169 0.7500 Dy
0.5000 0.8831 0.2500 Dy
```



## Dy2AlFe2 (PBE)

Data for a geometry-optimized Dy2AlFe2 structure.

Results
Symmetry: C2/c
Energy of formation (eV per atom): -0.17
E_tot (eV/atom): -6.1464

```
Dy2AlFe2
1.0
4.6765 -2.7312 0.0000
4.6765 2.7312 0.0000
-1.8256 0.0000 7.3941
Dy Al Fe
4 2 4
Direct
0.0034 0.2910 0.1462 Dy
0.2910 0.0034 0.6462 Dy
0.7090 0.9966 0.3538 Dy
0.9966 0.7090 0.8538 Dy
0.3737 0.6263 0.2500 Al
0.6263 0.3737 0.7500 Al
0.2049 0.5040 0.4945 Fe
0.4960 0.7951 0.0055 Fe
0.5040 0.2049 0.9945 Fe
0.7951 0.4960 0.5055 Fe
```



## RbCdCoCl6 (PBE)

Data for a geometry-optimized RbCdCoCl6 structure.

Results
Symmetry: P312
E_form (uncorrected) (eV/atom): -1.0453
E_tot (eV/atom): -3.2751

```
RbCdCoCl6
1.0
6.5219 0.0000 0.0000
-3.2610 5.6482 0.0000
0.0000 0.0000 7.2427
Rb Cd Co Cl
1 1 1 6
Direct
0.0000 0.0000 0.0000 Rb
0.3333 0.6667 0.5000 Cd
0.6667 0.3333 0.5000 Co
0.3914 0.0445 0.6843 Cl
0.3914 0.3470 0.3157 Cl
0.6530 0.0445 0.3157 Cl
0.6530 0.6086 0.6843 Cl
0.9555 0.3470 0.6843 Cl
0.9555 0.6086 0.3157 Cl
```



## NaNbNO2 (PBE)

Data for a geometry-optimized NaNbNO2 structure.

Results
Symmetry: P4/mmm
E_form (uncorrected) (eV/atom): 0.7156
E_tot (eV/atom): -5.2105

```
NaNbNO2
1.0
3.8091 0.0000 0.0000
0.0000 3.8091 0.0000
0.0000 0.0000 3.9020
Na Nb N O
1 1 1 2
Direct
0.0000 0.0000 0.0000 Na
0.5000 0.5000 0.5000 Nb
0.0000 0.0000 0.5000 N
0.0000 0.5000 0.0000 O
0.5000 0.0000 0.0000 O
```



## Rb3BiBr (PBE)

Data for a geometry-optimized Rb3BiBr structure.

Results
Symmetry: Pm-3m
Excess energy over the best structure of this formula in the dataset (meV/atom): 0
E_form (uncorrected) (eV/atom): -0.6968
E_tot (eV/atom): -2.3881

```
Rb3BiBr
1.0
6.4605 0.0000 0.0000
0.0000 6.4605 0.0000
0.0000 0.0000 6.4605
Rb Bi Br
3 1 1
Direct
0.0000 0.0000 0.5000 Rb
0.0000 0.5000 0.0000 Rb
0.5000 0.0000 0.0000 Rb
0.5000 0.5000 0.5000 Bi
0.0000 0.0000 0.0000 Br
```



## MnCo3Ni (PBE)

Data for a geometry-optimized MnCo3Ni structure.

Results
Symmetry: Pm-3m
Energy of formation (eV per atom): 1.06
Excess energy over the best structure of this formula in the dataset (meV/atom): 0
E_tot (eV/atom): -6.1896

```
MnCo3Ni
1.0
4.2511 0.0000 0.0000
0.0000 4.2511 0.0000
0.0000 0.0000 4.2511
Mn Co Ni
1 3 1
Direct
0.0000 0.0000 0.0000 Mn
0.0000 0.5000 0.5000 Co
0.5000 0.0000 0.5000 Co
0.5000 0.5000 0.0000 Co
0.5000 0.5000 0.5000 Ni
```



## Ac3Sb2O2 (PBE)

Data for a geometry-optimized Ac3Sb2O2 structure.

Results
Symmetry: C2/m
Excess energy over the best structure of this formula in the dataset (meV/atom): 0
E_form (uncorrected) (eV/atom): -2.1719
E_tot (eV/atom): -6.5271

```
Ac3Sb2O2
1.0
13.4290 0.0000 0.0000
0.0000 4.4149 0.0000
-3.9889 0.0000 6.7563
Ac Sb O
6 4 4
Direct
0.0000 0.0000 0.0000 Ac
0.1994 0.0000 0.7611 Ac
0.3006 0.5000 0.2389 Ac
0.5000 0.5000 0.0000 Ac
0.6994 0.5000 0.7611 Ac
0.8006 0.0000 0.2389 Ac
0.0471 0.5000 0.3492 Sb
0.4529 0.0000 0.6508 Sb
0.5471 0.0000 0.3492 Sb
0.9529 0.5000 0.6508 Sb
0.2046 0.0000 0.0813 O
0.2954 0.5000 0.9187 O
0.7046 0.5000 0.0813 O
0.7954 0.0000 0.9187 O
```



## La4Pm8Ho (PBE)

Data for a geometry-optimized La4Pm8Ho structure.

Results
Symmetry: R-3m
Energy of formation (eV per atom): 0.17
E_tot (eV/atom): -4.6173

```
La4Pm8Ho
1.0
3.7717 2.1776 9.3974
-3.7717 2.1776 9.3974
0.0000 -4.3551 9.3974
La Pm Ho
4 8 1
Direct
0.0000 0.0000 0.0000 La
0.0000 0.5000 0.5000 La
0.5000 0.0000 0.5000 La
0.5000 0.5000 0.0000 La
0.1922 0.7506 0.7506 Pm
0.2149 0.2149 0.2149 Pm
0.2494 0.2494 0.8078 Pm
0.2494 0.8078 0.2494 Pm
0.7506 0.1922 0.7506 Pm
0.7506 0.7506 0.1922 Pm
0.7851 0.7851 0.7851 Pm
0.8078 0.2494 0.2494 Pm
0.5000 0.5000 0.5000 Ho
```



## LaTaI2O (PBE)

Data for a geometry-optimized LaTaI2O structure.

Results
Symmetry: P4/mmm
Excess energy over the best structure of this formula in the dataset (meV/atom): 0
E_form (uncorrected) (eV/atom): -0.8057
E_tot (eV/atom): -5.7734

```
LaTaI2O
1.0
5.8529 0.0000 0.0000
0.0000 5.8529 0.0000
0.0000 0.0000 3.8981
La Ta I O
1 1 2 1
Direct
0.0000 0.0000 0.0000 La
0.5000 0.5000 0.5000 Ta
0.0000 0.5000 0.5000 I
0.5000 0.0000 0.5000 I
0.5000 0.5000 0.0000 O
```



## Ga2CoI2 (PBE)

Data for a geometry-optimized Ga2CoI2 structure.

Results
Symmetry: P4/mbm
Excess energy over the best structure of this formula in the dataset (meV/atom): 0
E_form (uncorrected) (eV/atom): 0.3621
E_tot (eV/atom): -2.8899

```
Ga2CoI2
1.0
7.2587 0.0000 0.0000
0.0000 7.2587 0.0000
0.0000 0.0000 5.3327
Ga Co I
4 2 4
Direct
0.1504 0.3496 0.0000 Ga
0.3496 0.8496 0.0000 Ga
0.6504 0.1504 0.0000 Ga
0.8496 0.6504 0.0000 Ga
0.0000 0.0000 0.5000 Co
0.5000 0.5000 0.5000 Co
0.1846 0.6846 0.5000 I
0.3154 0.1846 0.5000 I
0.6846 0.8154 0.5000 I
0.8154 0.3154 0.5000 I
```